Computed, not measured: a relaxed RbTe2S crystal at the PBE level of DFT.

Summary:
- E_tot: -2.691 eV per atom

a = 3.8302 Å, b = 3.8302 Å, c = 32.4882 Å
α = 90.00°, β = 90.00°, γ = 120.00°
Space group R-3m (No. 166, hexagonal axes)
Unique sites:
Rb  0.0000  0.0000  0.0000 [3 per cell]
Te  0.0000  0.0000  0.4224 [6 per cell]
S  0.0000  0.0000  0.5000 [3 per cell]

Computed, not measured: a relaxed Li2AlCd crystal at the PBE level of DFT.

Summary:
- Formation energy from the elements: -0.14 eV per atom

a = 3.7658 Å, b = 4.3656 Å, c = 8.6009 Å
α = 90.00°, β = 90.00°, γ = 90.00°
Space group Immm (No. 71)
Unique sites:
Li  0.0000  0.0000  0.2502 [4 per cell]
Al  0.0000  0.5000  0.0000 [2 per cell]
Cd  0.0000  0.5000  0.5000 [2 per cell]

Computed, not measured: a relaxed Zr2MnAs crystal at the PBE level of DFT.

Summary:
- Formation energy from the elements: -0.38 eV per atom

a = 4.5011 Å, b = 4.5011 Å, c = 3.5583 Å
α = 90.00°, β = 90.00°, γ = 90.00°
Space group P4/mmm (No. 123)
Unique sites:
Zr  0.0000  0.5000  0.0000 [2 per cell]
Mn  0.0000  0.0000  0.5000 [1 per cell]
As  0.5000  0.5000  0.5000 [1 per cell]

Computed, not measured: a relaxed TcSb2Au crystal at the PBE level of DFT.

Summary:
- Excess energy over the best structure of this formula in the dataset: 1.2 meV per atom

a = 3.3965 Å, b = 3.3965 Å, c = 24.8300 Å
α = 90.00°, β = 90.00°, γ = 120.00°
Space group R-3m (No. 166, hexagonal axes)
Unique sites:
Tc  0.0000  0.0000  0.0000 [3 per cell]
Sb  0.0000  0.0000  0.2569 [6 per cell]
Au  0.0000  0.0000  0.5000 [3 per cell]

Computed, not measured: a relaxed CsNa2Tl2In2 crystal at the PBE level of DFT.

Summary:
- Formation energy from the elements: -0.10 eV per atom

a = 10.2858 Å, b = 4.6815 Å, c = 10.5743 Å
α = 90.00°, β = 98.92°, γ = 90.00°
Space group C2/m (No. 12)
Unique sites:
Cs  0.0000  0.0000  0.0000 [2 per cell]
Na  0.0700  0.5000  0.6609 [4 per cell]
Tl  0.2185  0.5000  0.2527 [4 per cell]
In  0.1456  0.0000  0.4466 [4 per cell]

Computed, not measured: a relaxed TaNb5C6 crystal at the PBE level of DFT.

Summary:
- Formation energy from the elements: -0.50 eV per atom

a = 5.5086 Å, b = 9.5551 Å, c = 5.5199 Å
α = 90.00°, β = 109.54°, γ = 90.00°
Space group C2/m (No. 12)
Unique sites:
Ta  0.0000  0.0000  0.0000 [2 per cell]
Nb  0.0000  0.1678  0.5000 [4 per cell]
Nb  0.0000  0.3328  0.0000 [4 per cell]
Nb  0.0000  0.5000  0.5000 [2 per cell]
C  0.2476  0.0000  0.7520 [4 per cell]
C  0.2480  0.1650  0.2484 [8 per cell]

Computed, not measured: a relaxed TbIn2Au6 crystal at the PBE level of DFT.

Summary:
- Formation energy from the elements: -0.36 eV per atom

a = 8.9925 Å, b = 15.2903 Å, c = 5.2991 Å
α = 90.00°, β = 91.24°, γ = 90.00°
Space group C2/c (No. 15)
Unique sites:
Tb  0.0000  0.2497  0.2500 [4 per cell]
In  0.2504  0.0886  0.4986 [8 per cell]
Au  0.0850  0.0806  0.9973 [8 per cell]
Au  0.0846  0.4190  0.9986 [8 per cell]
Au  0.1637  0.2497  0.7557 [8 per cell]

Computed, not measured: a relaxed TiGaTe2 crystal at the PBE level of DFT.

Summary:
- E_tot: -4.514 eV per atom

a = 6.6898 Å, b = 6.6898 Å, c = 12.7916 Å
α = 90.00°, β = 90.00°, γ = 90.00°
Space group I-42d (No. 122)
Unique sites:
Ti  0.0000  0.0000  0.0000 [4 per cell]
Ga  0.0000  0.0000  0.5000 [4 per cell]
Te  0.2069  0.2500  0.1250 [8 per cell]

Computed, not measured: a relaxed NaAl3Pb crystal at the PBE level of DFT.

Summary:
- Excess energy over the best structure of this formula in the dataset: 0.0 meV per atom
- Formation energy from the elements: 0.80 eV per atom

a = 5.5845 Å, b = 5.5845 Å, c = 5.5845 Å
α = 90.00°, β = 90.00°, γ = 90.00°
Space group Pm-3m (No. 221)
Unique sites:
Na  0.0000  0.0000  0.0000 [1 per cell]
Al  0.0000  0.5000  0.5000 [3 per cell]
Pb  0.5000  0.5000  0.5000 [1 per cell]

Computed, not measured: a relaxed CrSnAs crystal at the PBE level of DFT.

Summary:
- Formation energy from the elements: 0.08 eV per atom

a = 5.6206 Å, b = 9.5909 Å, c = 16.0633 Å
α = 90.00°, β = 90.00°, γ = 90.00°
Space group Fddd (No. 70, origin choice 2)
Unique sites:
Cr  0.1250  0.1250  0.2584 [16 per cell]
Sn  0.1250  0.1250  0.5373 [16 per cell]
As  0.1250  0.2781  0.1250 [16 per cell]

Computed, not measured: a relaxed Al2RhW crystal at the PBE level of DFT.

Summary:
- Excess energy over the best structure of this formula in the dataset: 106.4 meV per atom
- Formation energy from the elements: -0.34 eV per atom

a = 9.4944 Å, b = 2.8421 Å, c = 4.6157 Å
α = 90.00°, β = 107.71°, γ = 90.00°
Space group Cm (No. 8)
Unique sites:
Al  0.0000  0.0000  0.0000 [2 per cell]
Al  0.2393  0.0000  0.6595 [2 per cell]
Rh  0.2427  0.5000  0.1446 [2 per cell]
W  0.4860  0.0000  0.4999 [2 per cell]

Computed, not measured: a relaxed Gd3Bi crystal at the PBE level of DFT.

Summary:
- Formation energy from the elements: -0.40 eV per atom

a = 4.9005 Å, b = 4.9005 Å, c = 4.9133 Å
α = 90.00°, β = 90.00°, γ = 90.00°
Space group P4/mmm (No. 123)
Unique sites:
Gd  0.0000  0.0000  0.0000 [1 per cell]
Gd  0.0000  0.5000  0.5000 [2 per cell]
Bi  0.5000  0.5000  0.0000 [1 per cell]

| no. | magnetic moment (μB/cell) |
| --- | --- |
| 1 | 0.000 |
| 2 | 0.000 |
| 3 | 1.506 |
| 4 | 0.000 |
| 5 | 0.000 |
| 6 | 0.000 |
| 7 | 0.000 |
| 8 | 4.000 |
| 9 | 0.000 |
| 10 | 25.178 |
| 11 | 0.000 |
| 12 | 7.505 |